No. 1
## Na2CaThSe4 (GGA-PBE)

Data for Na2CaThSe4 after structural relaxation.

ΔE_f (raw)	-1.64	eV per atom

The structure in CIF format:
```
data_Na2CaThSe4
_chemical_formula_sum 'Na2 Ca1 Th1 Se4'
_symmetry_space_group_name_H-M 'P 1 2/m 1'
_symmetry_Int_Tables_number 10
_symmetry_space_group_name_Hall '-P 2y'
_cell_length_a 7.353
_cell_length_b 4.305
_cell_length_c 7.378
_cell_angle_alpha 90.00
_cell_angle_beta 109.20
_cell_angle_gamma 90.00
loop_
_atom_site_label
_atom_site_fract_x
_atom_site_fract_y
_atom_site_fract_z
_atom_site_occupancy
Na1 0.000 0.000 0.000 1
Na2 0.500 0.500 0.000 1
Ca1 0.000 0.500 0.500 1
Th1 0.500 0.000 0.500 1
Se1 0.251 0.000 0.732 1
Se2 0.262 0.500 0.265 1
```



No. 2
## K2Tl6Sn (GGA-PBE)

Data for K2Tl6Sn after structural relaxation.

formation enthalpy at 0 K	-0.0828	eV per atom

The structure in CIF format:
```
data_K2Tl6Sn
_chemical_formula_sum 'K4 Tl12 Sn2'
_symmetry_space_group_name_H-M 'C 1 2/m 1'
_symmetry_Int_Tables_number 12
_symmetry_space_group_name_Hall '-C 2y'
_cell_length_a 11.879
_cell_length_b 7.250
_cell_length_c 7.346
_cell_angle_alpha 90.00
_cell_angle_beta 102.68
_cell_angle_gamma 90.00
loop_
_atom_site_label
_atom_site_fract_x
_atom_site_fract_y
_atom_site_fract_z
_atom_site_occupancy
K1 0.163 0.000 0.364 1
Tl1 0.112 0.227 0.842 1
Tl2 0.138 0.500 0.183 1
Sn1 0.000 0.500 0.500 1
```



No. 3
## CeMg2Au4 (GGA-PBE)

Data for CeMg2Au4 after structural relaxation.

formation enthalpy at 0 K	-0.5706	eV per atom

The structure in CIF format:
```
data_CeMg2Au4
_chemical_formula_sum 'Ce2 Mg4 Au8'
_symmetry_space_group_name_H-M 'I m m m'
_symmetry_Int_Tables_number 71
_symmetry_space_group_name_Hall '-I 2 2'
_cell_length_a 3.307
_cell_length_b 4.628
_cell_length_c 19.035
_cell_angle_alpha 90.00
_cell_angle_beta 90.00
_cell_angle_gamma 90.00
loop_
_atom_site_label
_atom_site_fract_x
_atom_site_fract_y
_atom_site_fract_z
_atom_site_occupancy
Ce1 0.000 0.000 0.000 1
Mg1 0.000 0.500 0.195 1
Au1 0.000 0.000 0.426 1
Au2 0.000 0.500 0.339 1
```



No. 4
## SrFeMo (GGA-PBE)

Data for SrFeMo after structural relaxation.

formation enthalpy at 0 K	0.6248	eV per atom
energy relative to the lowest polymorph listed for this composition	0.000	eV/atom

The structure in CIF format:
```
data_SrFeMo
_chemical_formula_sum 'Sr2 Fe2 Mo2'
_symmetry_space_group_name_H-M 'I 4 m m'
_symmetry_Int_Tables_number 107
_symmetry_space_group_name_Hall 'I 4 -2'
_cell_length_a 3.285
_cell_length_b 3.285
_cell_length_c 11.771
_cell_angle_alpha 90.00
_cell_angle_beta 90.00
_cell_angle_gamma 90.00
loop_
_atom_site_label
_atom_site_fract_x
_atom_site_fract_y
_atom_site_fract_z
_atom_site_occupancy
Sr1 0.000 0.000 0.000 1
Fe1 0.000 0.000 0.283 1
Mo1 0.000 0.000 0.725 1
```



No. 5
## SrCoRu (GGA-PBE)

Data for SrCoRu after structural relaxation.

formation enthalpy at 0 K	0.2368	eV per atom
energy relative to the lowest polymorph listed for this composition	0.000	eV/atom

The structure in CIF format:
```
data_SrCoRu
_chemical_formula_sum 'Sr2 Co2 Ru2'
_symmetry_space_group_name_H-M 'P 4/n m m'
_symmetry_Int_Tables_number 129
_cell_length_a 4.373
_cell_length_b 4.373
_cell_length_c 7.031
_cell_angle_alpha 90.00
_cell_angle_beta 90.00
_cell_angle_gamma 90.00
loop_
_symmetry_equiv_pos_as_xyz
'x,y,z'
'-x,-y,-z'
'-y+1/2,x,z'
'y+1/2,-x,-z'
'-x+1/2,-y+1/2,z'
'x+1/2,y+1/2,-z'
'y,-x+1/2,z'
'-y,x+1/2,-z'
'x+1/2,-y,-z'
'-x+1/2,y,z'
'-y,-x,-z'
'y,x,z'
'-x,y+1/2,-z'
'x,-y+1/2,z'
'y+1/2,x+1/2,-z'
'-y+1/2,-x+1/2,z'
loop_
_atom_site_label
_atom_site_fract_x
_atom_site_fract_y
_atom_site_fract_z
_atom_site_occupancy
Sr1 0.250 0.250 0.171 1
Co1 0.250 0.250 0.637 1
Ru1 0.250 0.750 0.500 1
```



No. 6
## SrSm2Fe (GGA-PBE)

Data for SrSm2Fe after structural relaxation.

formation enthalpy at 0 K	0.3263	eV per atom

The structure in CIF format:
```
data_SrSm2Fe
_chemical_formula_sum 'Sr3 Sm6 Fe3'
_symmetry_space_group_name_H-M 'R -3 m'
_symmetry_Int_Tables_number 166
_symmetry_space_group_name_Hall '-R 3 2"'
_cell_length_a 3.8782
_cell_length_b 3.8782
_cell_length_c 32.4349
_cell_angle_alpha 90.00
_cell_angle_beta 90.00
_cell_angle_gamma 120.00
loop_
_atom_site_label
_atom_site_fract_x
_atom_site_fract_y
_atom_site_fract_z
_atom_site_occupancy
Sr1 0.0000 0.0000 0.0000 1
Sm1 0.0000 0.0000 0.1186 1
Fe1 0.0000 0.0000 0.5000 1
```



No. 7
## TiSnS2 (GGA-PBE)

Data for TiSnS2 after structural relaxation.

ΔE_f (raw)	-0.75	eV per atom

The structure in CIF format:
```
data_TiSnS2
_chemical_formula_sum 'Ti4 Sn4 S8'
_symmetry_space_group_name_H-M 'P n m a'
_symmetry_Int_Tables_number 62
_symmetry_space_group_name_Hall '-P 2ac 2n'
_cell_length_a 6.998
_cell_length_b 3.967
_cell_length_c 12.216
_cell_angle_alpha 90.00
_cell_angle_beta 90.00
_cell_angle_gamma 90.00
loop_
_atom_site_label
_atom_site_fract_x
_atom_site_fract_y
_atom_site_fract_z
_atom_site_occupancy
Ti1 0.058 0.250 0.094 1
Sn1 0.156 0.750 0.350 1
S1 0.155 0.750 0.743 1
S2 0.211 0.750 0.032 1
```



No. 8
## TlInBi (GGA-PBE)

Data for TlInBi after structural relaxation.

formation enthalpy at 0 K	-0.0253	eV per atom
energy relative to the lowest polymorph listed for this composition	0.000	eV/atom

The structure in CIF format:
```
data_TlInBi
_chemical_formula_sum 'Tl4 In4 Bi4'
_symmetry_space_group_name_H-M 'P n m a'
_symmetry_Int_Tables_number 62
_symmetry_space_group_name_Hall '-P 2ac 2n'
_cell_length_a 7.396
_cell_length_b 5.313
_cell_length_c 9.657
_cell_angle_alpha 90.00
_cell_angle_beta 90.00
_cell_angle_gamma 90.00
loop_
_atom_site_label
_atom_site_fract_x
_atom_site_fract_y
_atom_site_fract_z
_atom_site_occupancy
Tl1 0.022 0.250 0.225 1
In1 0.169 0.250 0.584 1
Bi1 0.240 0.250 0.914 1
```



no.,raw total energy (Ry per atom),M_tot (Bohr magnetons per cell)
1,-0.359,0.00
2,-0.173,0.00
3,-0.275,2.17
4,-0.468,1.22
5,-0.425,2.34
6,-0.336,1.47
7,-0.425,0.00
8,-0.222,0.00